Here is an optimized crystal structure of SrAc5Pb6 from Alexandria. Energies are from PBE.

Structure (CIF):
```
data_SrAc5Pb6
_chemical_formula_sum 'Sr1 Ac5 Pb6'
_cell_length_a 6.1247
_cell_length_b 9.7692
_cell_length_c 10.4344
_cell_angle_alpha 62.09
_cell_angle_beta 73.00
_cell_angle_gamma 51.35
_symmetry_space_group_name_H-M 'P 1'
_symmetry_Int_Tables_number 1
_symmetry_space_group_name_Hall 'P 1'
loop_
_atom_site_label
_atom_site_type_symbol
_atom_site_fract_x
_atom_site_fract_y
_atom_site_fract_z
_atom_site_occupancy
Ac1 Ac 0.5000 0.1570 0.6860 1
Pb1 Pb 0.7410 0.4247 0.6676 1
Pb2 Pb 0.2590 0.5753 0.3324 1
Sr1 Sr 0.0000 0.0000 0.0000 1
Ac2 Ac 0.0000 0.6739 0.6522 1
Ac3 Ac 0.5000 0.5000 0.0000 1
Pb3 Pb 0.2325 0.2671 0.0000 1
Ac4 Ac 0.0000 0.3261 0.3478 1
Ac5 Ac 0.5000 0.8430 0.3140 1
Pb4 Pb 0.2590 0.9076 0.6676 1
Pb5 Pb 0.7410 0.0924 0.3324 1
Pb6 Pb 0.7675 0.7329 0.0000 1
```

Properties
* total energy: -4.180 eV per atom
* magnetization: 0.3 μB/f.u.
* energy relative to the elements: -0.474 eV/atom